[1]
Below is an optimized crystal structure of Ga5Pb3I12, with properties calculated at the PBE level.

Unit cell a=16.440 b=16.440 c=16.440 alpha=109.47 beta=109.47 gamma=109.47
Sites, in units of the cell vectors:
I 0.081 0.177 0.452
I 0.275 0.871 0.952
I 0.919 0.096 0.871
I 0.129 0.725 0.548
I 0.419 0.371 0.596
I 0.452 0.677 0.081
I 0.081 0.904 0.129
I 0.871 0.596 0.919
I 0.629 0.581 0.904
I 0.323 0.548 0.419
I 0.677 0.452 0.581
I 0.904 0.081 0.629
I 0.677 0.225 0.596
I 0.404 0.129 0.581
I 0.596 0.871 0.419
I 0.596 0.725 0.677
I 0.775 0.452 0.371
I 0.952 0.581 0.177
I 0.371 0.952 0.775
I 0.404 0.275 0.323
I 0.629 0.048 0.225
I 0.775 0.323 0.904
I 0.919 0.823 0.548
I 0.904 0.823 0.775
I 0.225 0.548 0.629
I 0.419 0.048 0.323
I 0.048 0.419 0.823
I 0.725 0.129 0.048
I 0.548 0.225 0.129
I 0.452 0.775 0.871
I 0.096 0.177 0.225
I 0.548 0.323 0.919
I 0.177 0.081 0.952
I 0.048 0.629 0.725
I 0.096 0.919 0.371
I 0.871 0.275 0.452
I 0.129 0.404 0.081
I 0.177 0.096 0.725
I 0.581 0.952 0.677
I 0.371 0.419 0.096
I 0.725 0.596 0.177
I 0.225 0.677 0.096
I 0.823 0.919 0.048
I 0.823 0.904 0.275
I 0.952 0.371 0.275
I 0.323 0.775 0.404
I 0.275 0.404 0.823
I 0.581 0.629 0.404
Ga 0.250 0.375 0.625
Ga 0.875 0.625 0.750
Ga 0.125 0.375 0.250
Ga 0.000 0.000 0.500
Ga 0.500 0.000 0.500
Ga 0.625 0.875 0.250
Ga 0.750 0.625 0.375
Ga 0.250 0.875 0.125
Ga 0.000 0.500 0.500
Ga 0.500 0.500 0.500
Ga 0.750 0.125 0.875
Ga 0.000 0.000 0.000
Ga 0.375 0.125 0.750
Ga 0.125 0.750 0.375
Ga 0.625 0.750 0.875
Ga 0.375 0.250 0.125
Ga 0.000 0.500 0.000
Ga 0.500 0.000 0.000
Ga 0.875 0.250 0.625
Ga 0.500 0.500 0.000
Pb 0.750 0.375 0.125
Pb 0.750 0.875 0.625
Pb 0.125 0.250 0.875
Pb 0.250 0.125 0.375
Pb 0.625 0.250 0.375
Pb 0.625 0.375 0.750
Pb 0.375 0.750 0.625
Pb 0.125 0.875 0.750
Pb 0.875 0.125 0.250
Pb 0.375 0.625 0.250
Pb 0.875 0.750 0.125
Pb 0.250 0.625 0.875

Properties
Formation energy from raw total energies ... -0.340 eV/atom
ρ ... 4.8 g cm⁻³
Symmetry ... Ia-3d

[2]
Below is an optimized crystal structure of GaPbI3, with properties calculated at the PBE level.

Unit cell a=6.303 b=6.303 c=6.303 alpha=90.00 beta=90.00 gamma=90.00
Sites, in units of the cell vectors:
Ga 0.500 0.500 0.500
I 0.500 0.000 0.000
I 0.000 0.000 0.500
I 0.000 0.500 0.000
Pb 0.000 0.000 0.000

Properties
Formation energy from raw total energies ... -0.292 eV/atom
ρ ... 4.4 g cm⁻³
Symmetry ... Pm-3m

[3]
Below is an optimized crystal structure of Ga2PbI, with properties calculated at the PBE level.

Unit cell a=5.400 b=5.400 c=5.400 alpha=60.00 beta=60.00 gamma=60.00
Sites, in units of the cell vectors:
Ga 0.250 0.250 0.250
Ga 0.750 0.750 0.750
Pb 0.500 0.500 0.500
I 0.000 0.000 0.000

Properties
E above lowest polymorph ... 2.9 kJ/mol of atoms
Formation energy from raw total energies ... 0.161 eV/atom
ρ ... 7.1 g cm⁻³
Symmetry ... Fm-3m

[4]
Below is an optimized crystal structure of GaPb2I5, with properties calculated at the PBE level.

Unit cell a=8.171 b=11.852 c=16.052 alpha=111.22 beta=90.00 gamma=90.00
Sites, in units of the cell vectors:
I 0.193 0.250 0.000
I 0.665 0.150 0.090
I 0.835 0.150 0.590
I 0.693 0.750 0.500
I 0.165 0.650 0.590
I 0.663 0.547 0.695
I 0.664 0.952 0.304
I 0.835 0.350 0.410
I 0.807 0.750 0.000
I 0.307 0.250 0.500
I 0.837 0.547 0.195
I 0.336 0.048 0.696
I 0.335 0.650 0.090
I 0.165 0.850 0.410
I 0.163 0.453 0.805
I 0.337 0.453 0.305
I 0.164 0.048 0.196
I 0.335 0.850 0.910
I 0.836 0.952 0.804
I 0.665 0.350 0.910
Pb 0.006 0.086 0.382
Pb 0.995 0.586 0.382
Pb 0.005 0.414 0.618
Pb 0.494 0.086 0.882
Pb 0.495 0.414 0.118
Pb 0.506 0.914 0.118
Pb 0.994 0.914 0.618
Pb 0.505 0.586 0.882
Ga 0.500 0.000 0.500
Ga 0.500 0.500 0.500
Ga 0.000 0.000 0.000
Ga 0.000 0.500 0.000

Properties
Formation energy from raw total energies ... -0.543 eV/atom
ρ ... 5.1 g cm⁻³
Symmetry ... P2_1/c

[5]
Below is an optimized crystal structure of GaPbI3, with properties calculated at the PBE level.

Unit cell a=8.070 b=10.475 c=10.475 alpha=96.58 beta=97.63 gamma=97.63
Sites, in units of the cell vectors:
I 0.380 0.071 0.643
I 0.916 0.292 0.524
I 0.584 0.476 0.708
I 0.871 0.933 0.789
I 0.629 0.211 0.067
I 0.620 0.929 0.357
I 0.120 0.357 0.929
I 0.371 0.789 0.933
I 0.880 0.643 0.071
I 0.416 0.524 0.292
I 0.084 0.708 0.476
I 0.129 0.067 0.211
Pb 0.750 0.919 0.081
Pb 0.750 0.217 0.783
Pb 0.250 0.783 0.217
Pb 0.250 0.081 0.919
Ga 0.019 0.448 0.277
Ga 0.481 0.723 0.552
Ga 0.981 0.552 0.723
Ga 0.519 0.277 0.448

Properties
Formation energy from raw total energies ... -0.484 eV/atom
ρ ... 5.1 g cm⁻³
Symmetry ... C2/c

[6]
Below is an optimized crystal structure of Ga2PbI, with properties calculated at the PBE level.

Unit cell a=6.631 b=6.631 c=8.604 alpha=67.34 beta=67.34 gamma=90.00
Sites, in units of the cell vectors:
Ga 0.375 0.340 0.750
Ga 0.660 0.125 0.250
Ga 0.090 0.625 0.250
Ga 0.875 0.910 0.750
Pb 0.750 0.250 0.500
Pb 0.000 0.000 0.000
I 0.250 0.750 0.500
I 0.500 0.500 0.000

Properties
E above lowest polymorph ... 0.0 kJ/mol of atoms
Formation energy from raw total energies ... 0.130 eV/atom
ρ ... 5.0 g cm⁻³
Symmetry ... I-42d

| no. | D(E_F) (states/eV/cell) | magnetic moment (Bohr magnetons per cell) |
| --- | --- | --- |
| 1 | 40.24 | 0.0 |
| 2 | 0.00 | 0.0 |
| 3 | 2.06 | 0.0 |
| 4 | 0.00 | 0.0 |
| 5 | 0.00 | 0.0 |
| 6 | 2.54 | 0.0 |